--- one ---
First-principles (PBE) data for an optimized crystal structure of LaCe, as listed in Alexandria.

Lattice parameters (Å, degrees): 3.874 3.876 10.444 90.03 89.98 119.96
Atoms (fractional coordinates):
La 0.667 0.333 0.856
La 0.333 0.667 0.144
Ce 0.667 0.333 0.428
Ce 0.333 0.667 0.572

space-group type: P-3m1
crystal system: trigonal

--- two ---
First-principles (PBE) data for an optimized crystal structure of LaCe, as listed in Alexandria.

Lattice parameters (Å, degrees): 6.136 6.136 6.136 33.26 33.26 33.26
Atoms (fractional coordinates):
Ce 0.000 0.000 0.000
La 0.500 0.500 0.500

space-group type: R-3m
crystal system: trigonal

Which structure wins on stability? two wins.

--- one ---
First-principles (PBE) data for an optimized crystal structure of LaCe, as listed in Alexandria.

Lattice parameters (Å, degrees): 3.509 4.938 7.150 90.00 90.00 90.00
Atoms (fractional coordinates):
Ce 0.250 0.750 0.113
Ce 0.750 0.250 0.887
La 0.249 0.750 0.641
La 0.751 0.250 0.359

space-group type: Pmmn
crystal system: orthorhombic

--- two ---
First-principles (PBE) data for an optimized crystal structure of LaCe, as listed in Alexandria.

Lattice parameters (Å, degrees): 4.082 4.082 4.082 90.00 90.00 90.00
Atoms (fractional coordinates):
Ce 0.000 0.000 0.000
La 0.500 0.500 0.500

space-group type: Pm-3m
crystal system: cubic

Which structure wins on stability? one wins.

--- one ---
First-principles (PBE) data for an optimized crystal structure of La4Ce, as listed in Alexandria.

Lattice parameters (Å, degrees): 3.647 3.647 15.164 83.09 83.09 60.00
Atoms (fractional coordinates):
La 0.604 0.604 0.187
La 0.201 0.201 0.398
La 0.799 0.799 0.602
La 0.396 0.396 0.813
Ce 0.000 0.000 0.000

space-group type: R-3m
crystal system: trigonal

--- two ---
First-principles (PBE) data for an optimized crystal structure of La4Ce, as listed in Alexandria.

Lattice parameters (Å, degrees): 5.758 5.758 5.758 90.00 90.00 90.00
Atoms (fractional coordinates):
Ce 0.500 0.500 0.500
La 0.000 0.000 0.000
La 0.500 0.000 0.500
La 0.000 0.500 0.500
La 0.500 0.500 0.000

space-group type: Pm-3m
crystal system: cubic

Which structure wins on stability? one wins.

--- one ---
First-principles (PBE) data for an optimized crystal structure of LiLa2Ce, as listed in Alexandria.

Lattice parameters (Å, degrees): 3.510 5.833 5.833 90.00 90.00 90.00
Atoms (fractional coordinates):
Li 0.500 0.000 0.000
Ce 0.500 0.500 0.500
La 0.000 0.000 0.500
La 0.000 0.500 0.000

space-group type: P4/mmm
crystal system: tetragonal

--- two ---
First-principles (PBE) data for an optimized crystal structure of LiLa2Ce, as listed in Alexandria.

Lattice parameters (Å, degrees): 3.588 3.588 9.356 90.00 90.00 90.00
Atoms (fractional coordinates):
Li 0.500 0.500 0.000
Ce 0.500 0.500 0.500
La 0.000 0.000 0.751
La 0.000 0.000 0.249

space-group type: P4/mmm
crystal system: tetragonal

--- three ---
First-principles (PBE) data for an optimized crystal structure of LiLa2Ce, as listed in Alexandria.

Lattice parameters (Å, degrees): 3.536 3.536 11.773 81.35 81.35 60.00
Atoms (fractional coordinates):
Li 0.667 0.667 0.000
La 0.084 0.084 0.749
La 0.249 0.249 0.252
Ce 0.500 0.500 0.500

space-group type: R3m
crystal system: trigonal

--- four ---
First-principles (PBE) data for an optimized crystal structure of LiLa2Ce, as listed in Alexandria.

Lattice parameters (Å, degrees): 3.367 3.367 12.333 82.16 82.16 60.00
Atoms (fractional coordinates):
Li 0.500 0.500 0.500
Ce 0.000 0.000 0.000
La 0.086 0.086 0.742
La 0.914 0.914 0.258

space-group type: R-3m
crystal system: trigonal

Which structure wins on stability? two wins.

--- one ---
First-principles (PBE) data for an optimized crystal structure of La2CeMg, as listed in Alexandria.

Lattice parameters (Å, degrees): 3.348 3.348 12.614 82.37 82.37 60.00
Atoms (fractional coordinates):
Mg 0.500 0.500 0.500
Ce 0.000 0.000 0.000
La 0.086 0.086 0.743
La 0.914 0.914 0.257

space-group type: R-3m
crystal system: trigonal

--- two ---
First-principles (PBE) data for an optimized crystal structure of La2CeMg, as listed in Alexandria.

Lattice parameters (Å, degrees): 4.879 5.106 5.106 90.00 90.00 90.00
Atoms (fractional coordinates):
Mg 0.500 0.500 0.500
Ce 0.500 0.000 0.000
La 0.000 0.000 0.500
La 0.000 0.500 0.000

space-group type: P4/mmm
crystal system: tetragonal

--- three ---
First-principles (PBE) data for an optimized crystal structure of La2CeMg, as listed in Alexandria.

Lattice parameters (Å, degrees): 5.667 5.667 5.667 60.00 60.00 60.00
Atoms (fractional coordinates):
Mg 0.500 0.500 0.500
Ce 0.000 0.000 0.000
La 0.250 0.250 0.250
La 0.750 0.750 0.750

space-group type: Fm-3m
crystal system: cubic

Which structure wins on stability? two wins.

--- one ---
First-principles (PBE) data for an optimized crystal structure of La2CeMg, as listed in Alexandria.

Lattice parameters (Å, degrees): 3.547 3.547 11.828 81.38 81.38 60.00
Atoms (fractional coordinates):
La 0.083 0.083 0.751
La 0.251 0.251 0.248
Ce 0.500 0.500 0.501
Mg 0.667 0.667 0.000

space-group type: R3m
crystal system: trigonal

--- two ---
First-principles (PBE) data for an optimized crystal structure of La2CeMg, as listed in Alexandria.

Lattice parameters (Å, degrees): 3.591 3.591 9.646 90.00 90.00 90.00
Atoms (fractional coordinates):
Mg 0.500 0.500 0.000
Ce 0.500 0.500 0.500
La 0.000 0.000 0.750
La 0.000 0.000 0.250

space-group type: P4/mmm
crystal system: tetragonal

Which structure wins on stability? two wins.

--- one ---
First-principles (PBE) data for an optimized crystal structure of LaCe2Mg, as listed in Alexandria.

Lattice parameters (Å, degrees): 5.107 4.829 4.829 90.00 90.00 90.00
Atoms (fractional coordinates):
Mg 0.500 0.500 0.500
Ce 0.000 0.000 0.500
Ce 0.000 0.500 0.000
La 0.500 0.000 0.000

space-group type: P4/mmm
crystal system: tetragonal

--- two ---
First-principles (PBE) data for an optimized crystal structure of LaCe2Mg, as listed in Alexandria.

Lattice parameters (Å, degrees): 3.369 3.369 11.934 81.89 81.89 60.00
Atoms (fractional coordinates):
La 0.500 0.500 0.500
Ce 0.080 0.080 0.759
Ce 0.253 0.253 0.241
Mg 0.667 0.667 0.000

space-group type: R3m
crystal system: trigonal

--- three ---
First-principles (PBE) data for an optimized crystal structure of LaCe2Mg, as listed in Alexandria.

Lattice parameters (Å, degrees): 5.538 5.538 5.538 60.00 60.00 60.00
Atoms (fractional coordinates):
Mg 0.000 0.000 0.000
Ce 0.250 0.250 0.250
Ce 0.750 0.750 0.750
La 0.500 0.500 0.500

space-group type: Fm-3m
crystal system: cubic

--- four ---
First-principles (PBE) data for an optimized crystal structure of LaCe2Mg, as listed in Alexandria.

Lattice parameters (Å, degrees): 3.217 3.217 12.508 82.61 82.61 60.00
Atoms (fractional coordinates):
Mg 0.500 0.500 0.500
Ce 0.087 0.087 0.738
Ce 0.913 0.913 0.262
La 0.000 0.000 0.000

space-group type: R-3m
crystal system: trigonal

Which structure wins on stability? one wins.

--- one ---
First-principles (PBE) data for an optimized crystal structure of La4CeN4, as listed in Alexandria.

Lattice parameters (Å, degrees): 3.685 6.443 8.325 75.78 77.21 73.38
Atoms (fractional coordinates):
La 0.707 0.399 0.188
La 0.895 0.827 0.384
La 0.293 0.601 0.812
La 0.105 0.173 0.616
Ce 0.500 0.000 0.000
N 0.309 0.087 0.295
N 0.691 0.913 0.705
N 0.903 0.281 0.912
N 0.097 0.719 0.088

space-group type: C2/m
crystal system: monoclinic

--- two ---
First-principles (PBE) data for an optimized crystal structure of La4CeN4, as listed in Alexandria.

Lattice parameters (Å, degrees): 5.964 5.964 7.102 114.83 114.83 90.00
Atoms (fractional coordinates):
La 0.500 0.000 0.000
La 0.000 0.500 0.000
La 0.282 0.282 0.563
La 0.718 0.718 0.437
Ce 0.000 0.000 0.000
N 0.645 0.645 0.757
N 0.355 0.888 0.243
N 0.112 0.112 0.757
N 0.888 0.355 0.243

space-group type: I-42m
crystal system: tetragonal

Which structure wins on stability? one wins.